(1)
## NiTeP2Pt (GGA-PBE)

Data for crystalline NiTeP2Pt at its relaxed geometry.

```
NiTeP2Pt
1.0
1.830 1.056 7.767
-1.830 1.056 7.767
0.000 -2.113 7.767
Ni Te P Pt
1 1 2 1
Direct
0.000 0.000 0.000
0.742 0.742 0.742
0.205 0.205 0.205
0.299 0.299 0.299
0.497 0.497 0.497
```

Summary:
- Crystal system: trigonal
- Space-group type: R3m, No. 160
- Formation energy without anion corrections: -1.50 eV/f.u.
- Calculated volume: 90.1 Å³/f.u.
- ρ: 8.172 g cm⁻³
- Excess energy over the best structure of this formula in the dataset: 0 meV/atom



(2)
## Tl2PCl (GGA-PBE)

Data for crystalline Tl2PCl at its relaxed geometry.

```
Tl2PCl
1.0
5.919 0.000 0.000
0.000 3.027 3.027
0.000 -3.027 3.027
Tl P Cl
2 1 1
Direct
0.000 0.000 0.000
0.500 0.499 0.499
0.500 0.999 0.999
0.000 0.500 0.500
```

Summary:
- Crystal system: orthorhombic
- Space-group type: Amm2, No. 38
- Formation energy without anion corrections: -0.84 eV/f.u.
- Calculated volume: 108.5 Å³/f.u.
- ρ: 7.275 g cm⁻³
- Excess energy over the best structure of this formula in the dataset: 0 meV/atom



(3)
## MnAsPt (GGA-PBE)

Data for crystalline MnAsPt at its relaxed geometry.

```
MnAsPt
1.0
-1.764 1.764 3.859
1.764 -1.764 3.859
1.764 1.764 -3.859
Mn As Pt
1 1 1
Direct
0.000 0.000 0.000
0.321 0.321 0.000
0.652 0.652 0.000
```

Summary:
- ΔE_f: -0.1284 eV/atom
- Crystal system: tetragonal
- Space-group type: I4mm, No. 107
- Calculated volume: 48.0 Å³/f.u.
- ρ: 11.234 g cm⁻³